Record 1
## KSeI3 (GGA-PBE)

Data for a relaxed structure of KSeI3.

Geometry as extended XYZ:
```
5
Lattice="-3.739 -4.549 0.011 2.859 -2.361 -4.575 3.539 -2.900 3.708" Properties=species:S:1:pos:R:3 pbc="T T T"
I 1.430 -1.180 -2.287
I -1.870 -2.275 0.005
I 1.769 -1.450 1.854
Se 0.000 0.000 0.000
K 1.329 -4.905 -0.428
```

Output
The calculation puts the uncorrected formation energy at -0.54 eV/atom. Its polymorph energy (0 for the lowest one) is 0.4 kJ/mol of atoms. The symmetry is Pm-3m (221). The value obtained for the density of states at the Fermi level is 1.05 states/eV/f.u.

---

Record 2
## PmSm2PdO5 (GGA-PBE)

Data for a relaxed structure of PmSm2PdO5.

Geometry as extended XYZ:
```
18
Lattice="-5.415 -1.033 -2.233 1.067 -6.448 0.395 -2.490 -0.041 6.056" Properties=species:S:1:pos:R:3 pbc="T T T"
O -1.255 -5.643 1.812
O -2.707 -0.517 -1.117
O -5.583 -1.879 2.406
O -5.468 -5.110 3.623
O -4.044 -6.176 0.661
O -2.679 -4.578 4.773
O -3.419 -3.761 2.109
O -2.794 -1.347 3.556
O -4.158 -2.944 -0.556
O -1.369 -2.412 0.595
Sm -3.367 -1.592 0.979
Sm -4.429 -2.714 4.075
Sm -2.408 -4.809 0.143
Sm -3.471 -5.931 3.238
Pd -1.245 -0.021 3.028
Pd 0.534 -3.224 0.197
Pm 0.000 0.000 0.000
Pm -0.711 -3.245 3.225
```

Output
The calculation puts the uncorrected formation energy at -2.51 eV/atom. The symmetry is P4/mbm (127). The value obtained for the density of states at the Fermi level is 0.62 states/eV/f.u.

---

Record 3
## ZrSbAs2Os (GGA-PBE)

Data for a relaxed structure of ZrSbAs2Os.

Geometry as extended XYZ:
```
5
Lattice="5.073 0.000 0.000 0.000 5.073 0.000 0.000 0.000 5.410" Properties=species:S:1:pos:R:3 pbc="T T T"
Zr 0.000 0.000 2.705
As 2.536 0.000 0.000
As 0.000 2.536 0.000
Os 2.536 2.536 2.705
Sb 0.000 0.000 0.000
```

Output
The calculation puts the uncorrected formation energy at 1.84 eV/atom. The symmetry is P4/mmm (123). The value obtained for the density of states at the Fermi level is 6.54 states/eV/f.u.

---

Record 4
## TlBi3O7 (GGA-PBE)

Data for a relaxed structure of TlBi3O7.

Geometry as extended XYZ:
```
22
Lattice="-3.961 4.067 3.684 0.765 -5.800 3.403 6.282 2.908 3.544" Properties=species:S:1:pos:R:3 pbc="T T T"
O 4.087 0.272 8.845
O 6.053 1.052 4.887
O 2.406 2.792 6.244
O 0.680 -1.617 4.388
O -1.897 3.763 4.541
O -1.128 1.121 1.666
O -0.708 1.282 4.470
O 3.257 0.027 3.493
O -0.258 1.377 7.273
O -2.756 -0.049 5.680
O 3.795 -0.107 6.161
O 1.585 2.100 3.246
O 4.983 -2.588 6.091
O 1.504 -1.200 7.438
Bi 1.650 0.645 5.079
Bi 3.689 -1.640 7.803
Bi 5.019 -0.908 4.453
Bi -0.458 2.882 2.910
Bi -2.076 2.016 6.097
Bi -1.705 -0.925 3.781
Tl -0.027 -0.264 8.797
Tl -0.028 -0.015 0.062
```

Output
The calculation puts the uncorrected formation energy at -0.93 eV/atom. The symmetry is C222_1 (20). The value obtained for the density of states at the Fermi level is 2.77 states/eV/f.u.